VASP calculation (GGA+U) on CrPd2F6 after structural relaxation.

Computed properties:
M_tot (μB per formula unit): 0.0
SG: C2/m (12)
E_tot (hartree per atom): -0.17935

abc: 3.1792 8.0687 5.7461
angles: 82.89 106.06 113.16
Last column: nearest neighbours and their distance in Å.
Positions (direct):
Pd (0.9464, 0.5606, 0.2713)  4 F 2.15-2.25
Pd (0.0536, 0.4394, 0.7287)  4 F 2.15-2.25
F (0.2150, 0.3830, 0.1636)  2 Pd 2.15-2.16
F (0.7850, 0.6170, 0.8364)  2 Pd 2.15-2.16
F (0.5335, 0.9332, 0.7004)  2 Cr 1.99
F (0.6895, 0.7656, 0.3474)  1 Cr 1.94
F (0.4665, 0.0668, 0.2996)  2 Cr 1.99
F (0.3105, 0.2344, 0.6526)  1 Cr 1.94
Cr (0.0000, 0.0000, 0.5000)  6 F 1.94-1.99